# 1
Density functional theory data (PBE) for a geometry-optimized DyPuScSn structure.

Unit cell a=5.297 b=5.297 c=5.297 alpha=60.00 beta=60.00 gamma=60.00
Each line ends with the local moment (μB).
Fractional positions:
Sc (0.250, 0.250, 0.250)  0.53
Dy (0.000, 0.000, 0.000)  0.29
Sn (0.750, 0.750, 0.750)  -0.04
Pu (0.500, 0.500, 0.500)  5.55

DFT formation energy	-0.15	eV per atom
space group	No. 216

# 2
Density functional theory data (PBE) for a geometry-optimized Dy2Pu3ScTe6 structure.

Unit cell a=4.339 b=8.767 c=9.784 alpha=103.85 beta=102.81 gamma=90.00
Each line ends with the local moment (μB).
Fractional positions:
Dy (0.834, 0.668, 0.669)  -0.03
Dy (0.166, 0.332, 0.331)  -0.03
Pu (0.500, 0.500, 0.000)  -5.60
Pu (0.831, 0.165, 0.661)  -5.58
Pu (0.169, 0.835, 0.339)  -5.58
Sc (0.500, 0.000, 0.000)  -0.07
Te (0.339, 0.917, 0.678)  0.04
Te (0.668, 0.581, 0.336)  0.04
Te (0.661, 0.083, 0.322)  0.04
Te (0.000, 0.237, 0.999)  0.04
Te (0.000, 0.763, 0.001)  0.04
Te (0.332, 0.419, 0.664)  0.04

space group	No. 12
raw formation energy	-1175	meV per atom

# 3
Density functional theory data (PBE) for a geometry-optimized Dy2PuScTe4 structure.

Unit cell a=4.304 b=7.505 c=7.510 alpha=109.11 beta=90.00 gamma=90.00
Each line ends with the local moment (μB).
Fractional positions:
Dy (0.500, 0.000, 0.500)  -0.03
Dy (0.000, 0.500, 0.500)  0.06
Pu (0.500, 0.500, 0.000)  5.55
Sc (0.000, 0.000, 0.000)  0.11
Te (0.500, 0.239, 0.243)  -0.01
Te (0.500, 0.761, 0.757)  -0.01
Te (0.000, 0.243, 0.751)  -0.03
Te (0.000, 0.757, 0.249)  -0.03

space group	No. 10
raw formation energy	-1195	meV per atom

# 4
Density functional theory data (PBE) for a geometry-optimized Dy3PuSc2Te6 structure.

Unit cell a=4.281 b=8.643 c=9.639 alpha=103.20 beta=102.83 gamma=90.00
Each line ends with the local moment (μB).
Fractional positions:
Dy (0.500, 0.500, 0.000)  -0.02
Dy (0.838, 0.169, 0.676)  0.02
Dy (0.162, 0.831, 0.324)  0.02
Pu (0.500, 0.000, 0.000)  5.55
Sc (0.838, 0.677, 0.677)  0.12
Sc (0.162, 0.323, 0.323)  0.12
Te (0.330, 0.908, 0.659)  -0.01
Te (0.672, 0.574, 0.344)  0.00
Te (0.670, 0.092, 0.341)  -0.01
Te (0.004, 0.255, 0.008)  -0.03
Te (0.996, 0.745, 0.992)  -0.03
Te (0.328, 0.426, 0.656)  0.00

space group	No. 12
raw formation energy	-1200	meV per atom

# 5
Density functional theory data (PBE) for a geometry-optimized DyPu2ScTe4 structure.

Unit cell a=4.324 b=7.479 c=7.605 alpha=109.21 beta=90.00 gamma=90.00
Each line ends with the local moment (μB).
Fractional positions:
Dy (0.500, 0.500, 0.000)  -0.03
Pu (0.500, 0.000, 0.500)  -5.57
Pu (0.000, 0.500, 0.500)  -5.62
Sc (0.000, 0.000, 0.000)  -0.09
Te (0.500, 0.239, 0.236)  0.04
Te (0.500, 0.761, 0.764)  0.04
Te (0.000, 0.247, 0.760)  0.04
Te (0.000, 0.753, 0.240)  0.04

space group	No. 10
raw formation energy	-1156	meV per atom

# 6
Density functional theory data (PBE) for a geometry-optimized Dy2Tm6PuSc3 structure.

Unit cell a=5.961 b=5.961 c=11.289 alpha=95.07 beta=95.07 gamma=120.00
Each line ends with the local moment (μB).
Fractional positions:
Dy (0.333, 0.667, 0.000)  0.15
Dy (0.667, 0.333, 0.000)  0.15
Tm (0.914, 0.584, 0.743)  0.06
Tm (0.755, 0.755, 0.257)  0.05
Tm (0.086, 0.416, 0.257)  0.06
Tm (0.584, 0.914, 0.743)  0.06
Tm (0.245, 0.245, 0.743)  0.05
Tm (0.416, 0.086, 0.257)  0.06
Pu (0.000, 0.000, 0.000)  5.59
Sc (0.168, 0.832, 0.500)  -0.04
Sc (0.832, 0.168, 0.500)  -0.04
Sc (0.500, 0.500, 0.500)  -0.04

DFT formation energy	0.06	eV per atom
space group	No. 12